[1]
## Li3Ac2Ag4 (PBE-GGA)

Data for crystalline Li3Ac2Ag4 at its relaxed geometry.

Size of the total moment (μB per formula unit): 0.00
E_tot (eV per cell): -54.06

abc: 8.9465 8.9465 8.4389
angles: 90.00 90.00 141.23
Atoms (fractional coordinates):
Li (0.0000, 0.0000, 0.0000)
Li (0.0344, 0.4656, 0.2500)
Li (0.4656, 0.0344, 0.7500)
Li (0.5000, 0.5000, 0.5000)
Li (0.5344, 0.9656, 0.2500)
Li (0.9656, 0.5344, 0.7500)
Ac (0.1135, 0.8865, 0.4113)
Ac (0.3865, 0.6135, 0.9113)
Ac (0.6135, 0.3865, 0.0887)
Ac (0.8865, 0.1135, 0.5887)
Ag (0.1897, 0.8103, 0.0285)
Ag (0.1963, 0.3037, 0.2500)
Ag (0.3037, 0.1963, 0.7500)
Ag (0.3103, 0.6897, 0.5285)
Ag (0.6897, 0.3103, 0.4715)
Ag (0.6963, 0.8037, 0.2500)
Ag (0.8037, 0.6963, 0.7500)
Ag (0.8103, 0.1897, 0.9715)

[2]
## Li2AcAg2 (PBE-GGA)

Data for crystalline Li2AcAg2 at its relaxed geometry.

Size of the total moment (μB per formula unit): 0.00
E_tot (eV per cell): -29.48

abc: 4.2829 4.2829 12.9199
angles: 90.00 90.00 90.00
Atoms (fractional coordinates):
Li (0.0000, 0.5000, 0.2500)
Li (0.0000, 0.5000, 0.7500)
Li (0.5000, 0.0000, 0.2500)
Li (0.5000, 0.0000, 0.7500)
Ac (0.0000, 0.0000, 0.0000)
Ac (0.5000, 0.5000, 0.5000)
Ag (0.0000, 0.0000, 0.3869)
Ag (0.0000, 0.0000, 0.6131)
Ag (0.5000, 0.5000, 0.1131)
Ag (0.5000, 0.5000, 0.8869)

[3]
## Li3AcAg4 (PBE-GGA)

Data for crystalline Li3AcAg4 at its relaxed geometry.

Size of the total moment (μB per formula unit): 0.00
E_tot (eV per cell): -21.93

abc: 4.8307 4.8307 7.6328
angles: 90.00 90.00 90.00
Atoms (fractional coordinates):
Li (0.0000, 0.0000, 0.0000)
Li (0.5000, 0.5000, 0.3062)
Li (0.5000, 0.5000, 0.6938)
Ac (0.0000, 0.0000, 0.5000)
Ag (0.0000, 0.5000, 0.1853)
Ag (0.0000, 0.5000, 0.8147)
Ag (0.5000, 0.0000, 0.1853)
Ag (0.5000, 0.0000, 0.8147)

[4]
## Li2AcAg (PBE-GGA)

Data for crystalline Li2AcAg at its relaxed geometry.

Size of the total moment (μB per formula unit): 0.00
E_tot (eV per cell): -33.46

abc: 4.6493 4.6493 16.4721
angles: 90.00 90.00 120.00
Atoms (fractional coordinates):
Li (0.0000, 0.0000, 0.0000)
Li (0.0000, 0.0000, 0.2916)
Li (0.3333, 0.6667, 0.6667)
Li (0.3333, 0.6667, 0.9583)
Li (0.6667, 0.3333, 0.3333)
Li (0.6667, 0.3333, 0.6250)
Ac (0.0000, 0.0000, 0.8008)
Ac (0.3333, 0.6667, 0.4675)
Ac (0.6667, 0.3333, 0.1342)
Ag (0.0000, 0.0000, 0.5984)
Ag (0.3333, 0.6667, 0.2651)
Ag (0.6667, 0.3333, 0.9317)

[5]
## Li4Ac3Ag4 (PBE-GGA)

Data for crystalline Li4Ac3Ag4 at its relaxed geometry.

Size of the total moment (μB per formula unit): 0.00
E_tot (eV per cell): -33.47

abc: 4.1760 4.5845 15.0483
angles: 98.54 97.97 90.04
Atoms (fractional coordinates):
Li (0.0955, 0.0950, 0.1927)
Li (0.2494, 0.7486, 0.4984)
Li (0.7506, 0.2514, 0.5016)
Li (0.9045, 0.9050, 0.8073)
Ac (0.3541, 0.3549, 0.7063)
Ac (0.5000, 0.0000, 0.0000)
Ac (0.6459, 0.6451, 0.2937)
Ag (0.0498, 0.5496, 0.1004)
Ag (0.1892, 0.1883, 0.3801)
Ag (0.8108, 0.8117, 0.6199)
Ag (0.9502, 0.4504, 0.8996)

[6]
## Li7Ac3Ag4 (PBE-GGA)

Data for crystalline Li7Ac3Ag4 at its relaxed geometry.

Size of the total moment (μB per formula unit): 0.00
E_tot (eV per cell): -39.21

abc: 8.8747 8.8747 10.8131
angles: 124.23 124.23 29.21
Atoms (fractional coordinates):
Li (0.0000, 0.0000, 0.0000)
Li (0.1570, 0.1570, 0.9230)
Li (0.3231, 0.3231, 0.4931)
Li (0.4881, 0.4881, 0.1982)
Li (0.5119, 0.5119, 0.8018)
Li (0.6769, 0.6769, 0.5069)
Li (0.8430, 0.8430, 0.0770)
Ac (0.0000, 0.0000, 0.5000)
Ac (0.3012, 0.3012, 0.7892)
Ac (0.6988, 0.6988, 0.2108)
Ag (0.1080, 0.1080, 0.3228)
Ag (0.3437, 0.3437, 0.2331)
Ag (0.6563, 0.6563, 0.7669)
Ag (0.8920, 0.8920, 0.6772)

[7]
## LiAc2Ag (PBE-GGA)

Data for crystalline LiAc2Ag at its relaxed geometry.

Size of the total moment (μB per formula unit): 0.00
E_tot (eV per cell): -53.04

abc: 7.9917 7.9917 7.9917
angles: 90.00 90.00 90.00
Atoms (fractional coordinates):
Li (0.0000, 0.0000, 0.0000)
Li (0.0000, 0.5000, 0.5000)
Li (0.5000, 0.0000, 0.5000)
Li (0.5000, 0.5000, 0.0000)
Ac (0.2500, 0.2500, 0.2500)
Ac (0.2500, 0.2500, 0.7500)
Ac (0.2500, 0.7500, 0.2500)
Ac (0.2500, 0.7500, 0.7500)
Ac (0.7500, 0.2500, 0.2500)
Ac (0.7500, 0.2500, 0.7500)
Ac (0.7500, 0.7500, 0.2500)
Ac (0.7500, 0.7500, 0.7500)
Ag (0.0000, 0.0000, 0.5000)
Ag (0.0000, 0.5000, 0.0000)
Ag (0.5000, 0.0000, 0.0000)
Ag (0.5000, 0.5000, 0.5000)

[8]
## LiAc2Ag (PBE-GGA)

Data for crystalline LiAc2Ag at its relaxed geometry.

Size of the total moment (μB per formula unit): 0.00
E_tot (eV per cell): -26.65

abc: 4.1421 5.1798 11.9069
angles: 90.00 90.00 90.00
Atoms (fractional coordinates):
Li (0.0000, 0.0000, 0.0000)
Li (0.0000, 0.5000, 0.5000)
Ac (0.0000, 0.0000, 0.2938)
Ac (0.0000, 0.5000, 0.7938)
Ac (0.5000, 0.0000, 0.5860)
Ac (0.5000, 0.5000, 0.0860)
Ag (0.5000, 0.0000, 0.8634)
Ag (0.5000, 0.5000, 0.3634)